(1)
VASP calculation (PBE) on a geometry-optimized TaMo structure.

The space group is I4_1/amd (No. 141, origin choice 2) and the conventional cell measures 6.4705, 6.4705 and 6.4639 Å, with angles of 90.00, 90.00 and 90.00 degrees. The asymmetric unit holds Ta at (0.0000, 0.0000, 0.0000) and Mo at (0.0000, 0.0000, 0.5000).

The calculated volume is 271 Å³/cell. Its total magnetization is 0.000 μB/atom. Its formation energy is -0.1020 eV/atom.



(2)
VASP calculation (PBE) on a geometry-optimized La2Sm6HoTm structure.

The space group is C2/c (No. 15) and the conventional cell measures 9.1200, 15.1785 and 9.9997 Å, with angles of 90.00, 100.11 and 90.00 degrees. The asymmetric unit holds La at (0.2437, 0.0495, 0.0412), Sm at (0.0667, 0.1910, 0.4432), Sm at (0.1032, 0.3972, 0.6210), Sm at (0.1992, 0.2189, 0.8105), Ho at (0.0000, 0.0131, 0.7500) and Tm at (0.0000, 0.4049, 0.2500).

The calculated volume is 1363 Å³/cell. Its total magnetization is 0.000 μB/atom. Its formation energy is 0.1166 eV/atom.



(3)
VASP calculation (PBE) on a geometry-optimized BiTe2OsI structure.

The space group is P4/mmm (No. 123) and the conventional cell measures 5.2356, 5.2356 and 5.4289 Å, with angles of 90.00, 90.00 and 90.00 degrees. The asymmetric unit holds Bi at (0.0000, 0.0000, 0.0000), Te at (0.0000, 0.5000, 0.5000), Os at (0.5000, 0.5000, 0.5000) and I at (0.5000, 0.5000, 0.0000).

The calculated volume is 149 Å³/cell. Its total magnetization is 0.000 μB/atom. The value obtained for the uncorrected formation energy is 3.0 eV/f.u.



(4)
VASP calculation (PBE) on a geometry-optimized Tl3Ni structure.

The space group is R-3m (No. 166, hexagonal axes) and the conventional cell measures 9.9351, 9.9351 and 3.5181 Å, with angles of 90.00, 90.00 and 120.00 degrees. The asymmetric unit holds Tl at (0.0000, 0.5000, 0.0000) and Ni at (0.0000, 0.0000, 0.0000).

The calculated volume is 301 Å³/cell. Its total magnetization is 0.000 μB/atom. Its formation energy is 0.4524 eV/atom.



(5)
VASP calculation (PBE) on a geometry-optimized AlZn2Pb structure.

The space group is P4/mmm (No. 123) and the conventional cell measures 4.3915, 4.3915 and 4.2746 Å, with angles of 90.00, 90.00 and 90.00 degrees. The asymmetric unit holds Al at (0.0000, 0.0000, 0.0000), Zn at (0.0000, 0.5000, 0.5000) and Pb at (0.5000, 0.5000, 0.0000).

The calculated volume is 82 Å³/cell. Its total magnetization is 0.000 μB/atom. Its formation energy is 0.2449 eV/atom.



(6)
VASP calculation (PBE) on a geometry-optimized NbSn2TeSe structure.

The space group is P4/mmm (No. 123) and the conventional cell measures 5.6063, 5.6063 and 4.8831 Å, with angles of 90.00, 90.00 and 90.00 degrees. The asymmetric unit holds Nb at (0.0000, 0.0000, 0.0000), Sn at (0.0000, 0.5000, 0.5000), Te at (0.5000, 0.5000, 0.0000) and Se at (0.0000, 0.0000, 0.5000).

The calculated volume is 153 Å³/cell. Its total magnetization is 0.328 μB/atom. The value obtained for the uncorrected formation energy is 2.8 eV/f.u.



(7)
VASP calculation (PBE) on a geometry-optimized CaIn2Cl structure.

The space group is I-42d (No. 122) and the conventional cell measures 10.2967, 10.2967 and 5.3474 Å, with angles of 90.00, 90.00 and 90.00 degrees. The asymmetric unit holds Ca at (0.0000, 0.0000, 0.0000), In at (0.2059, 0.2500, 0.1250) and Cl at (0.0000, 0.0000, 0.5000).

The calculated volume is 567 Å³/cell. Its total magnetization is 0.000 μB/atom. The value obtained for the uncorrected formation energy is -1.9 eV/f.u.



(8)
VASP calculation (PBE) on a geometry-optimized Pm6Zn2In structure.

The space group is Immm (No. 71) and the conventional cell measures 10.0258, 10.1185 and 10.4279 Å, with angles of 90.00, 90.00 and 90.00 degrees. The asymmetric unit holds Pm at (0.0000, 0.2185, 0.1840), Pm at (0.1857, 0.2283, 0.5000), Pm at (0.2076, 0.5000, 0.2578), Zn at (0.0000, 0.0000, 0.3770), Zn at (0.1319, 0.0000, 0.0000), In at (0.0000, 0.5000, 0.0000) and In at (0.0000, 0.5000, 0.5000).

The calculated volume is 1058 Å³/cell. Its total magnetization is 0.000 μB/atom. Its formation energy is -0.2224 eV/atom.



(9)
VASP calculation (PBE) on a geometry-optimized BeIr2Os2 structure.

The space group is P4/mbm (No. 127) and the conventional cell measures 7.4744, 7.4744 and 2.7486 Å, with angles of 90.00, 90.00 and 90.00 degrees. The asymmetric unit holds Be at (0.0000, 0.0000, 0.0000), Ir at (0.1249, 0.3751, 0.0000) and Os at (0.1731, 0.6731, 0.5000).

The calculated volume is 154 Å³/cell. Its total magnetization is 0.000 μB/atom. Its formation energy is 0.5693 eV/atom.



(10)
VASP calculation (PBE) on a geometry-optimized MgBe8As6 structure.

The space group is P6_3cm (No. 185) and the conventional cell measures 6.6411, 6.6411 and 12.4204 Å, with angles of 90.00, 90.00 and 120.00 degrees. The asymmetric unit holds Mg at (0.0000, 0.0000, 0.0000), Be at (0.0000, 0.3311, 0.3454), Be at (0.0000, 0.3369, 0.6934), Be at (0.3333, 0.6667, 0.4529), As at (0.0000, 0.0000, 0.2632), As at (0.0000, 0.3849, 0.5179) and As at (0.3333, 0.6667, 0.2633).

The calculated volume is 474 Å³/cell. Its total magnetization is 0.000 μB/atom. Its formation energy is -0.0684 eV/atom.



(11)
VASP calculation (PBE) on a geometry-optimized AlSeCl2 structure.

The space group is I-42d (No. 122) and the conventional cell measures 8.8971, 8.8971 and 4.9468 Å, with angles of 90.00, 90.00 and 90.00 degrees. The asymmetric unit holds Al at (0.0000, 0.0000, 0.0000), Se at (0.0000, 0.0000, 0.5000) and Cl at (0.0985, 0.7500, 0.1250).

The calculated volume is 392 Å³/cell. Its total magnetization is 0.250 μB/atom. The value obtained for the uncorrected formation energy is -2.0 eV/f.u.



(12)
VASP calculation (PBE) on a geometry-optimized K2NaIr structure.

The space group is Fm-3m (No. 225) and the conventional cell measures 7.7822, 7.7822 and 7.7822 Å, with angles of 90.00, 90.00 and 90.00 degrees. The asymmetric unit holds K at (0.2500, 0.2500, 0.2500), Na at (0.0000, 0.0000, 0.0000) and Ir at (0.0000, 0.0000, 0.5000).

The calculated volume is 471 Å³/cell. Its total magnetization is 0.000 μB/atom. Its formation energy is 0.7380 eV/atom.